{"formula": "TlIn2BiF", "functional": "PBE-GGA", "state": "relaxed", "crystal_system": "tetragonal", "raw_formation_energy_mev_per_atom": -556, "lattice": [[5.1265, 0.0000, 0.0000], [0.0000, 5.1265, 0.0000], [0.0000, 0.0000, 5.2369]], "species": ["Tl", "In", "In", "Bi", "F"], "frac_coords": [[0.0000, 0.0000, 0.0000], [0.0000, 0.5000, 0.5000], [0.5000, 0.0000, 0.5000], [0.5000, 0.5000, 0.0000], [0.0000, 0.0000, 0.5000]]}



{"formula": "Tl2InBiF6", "functional": "PBE-GGA", "state": "relaxed", "crystal_system": "triclinic", "raw_formation_energy_mev_per_atom": -2028, "lattice": [[6.5655, 0.0000, 0.0000], [2.9593, 5.8651, 0.0000], [2.9503, 1.8212, 5.6018]], "species": ["Tl", "Tl", "In", "Bi", "F", "F", "F", "F", "F", "F"], "frac_coords": [[0.0000, 0.0000, 0.0000], [0.4920, 0.4918, 0.4905], [0.2548, 0.2553, 0.2550], [0.7564, 0.7568, 0.7570], [0.0464, 0.4335, 0.6113], [0.0720, 0.8849, 0.5958], [0.4319, 0.6116, 0.0459], [0.5917, 0.0743, 0.8838], [0.6146, 0.0444, 0.4319], [0.8853, 0.5949, 0.0724]]}



{"formula": "YInBiF2", "functional": "PBE-GGA", "state": "relaxed", "crystal_system": "tetragonal", "raw_formation_energy_mev_per_atom": -2151, "lattice": [[4.4426, 0.0000, 0.0000], [0.0000, 4.4426, 0.0000], [0.0000, 0.0000, 6.5035]], "species": ["Y", "In", "Bi", "F", "F"], "frac_coords": [[0.0000, 0.0000, 0.0000], [0.5000, 0.5000, 0.5000], [0.0000, 0.0000, 0.5000], [0.0000, 0.5000, 0.0000], [0.5000, 0.0000, 0.0000]]}



{"formula": "Bi2IrF", "functional": "PBE-GGA", "state": "relaxed", "crystal_system": "cubic", "de_polymorph_ev_per_atom": 0.000, "raw_formation_energy_mev_per_atom": -543, "lattice": [[0.0000, 3.3629, 3.3629], [3.3629, 0.0000, 3.3629], [3.3629, 3.3629, 0.0000]], "species": ["Bi", "Bi", "Ir", "F"], "frac_coords": [[0.2500, 0.2500, 0.2500], [0.7500, 0.7500, 0.7500], [0.0000, 0.0000, 0.0000], [0.5000, 0.5000, 0.5000]]}



{"formula": "BiIrF2", "functional": "PBE-GGA", "state": "relaxed", "crystal_system": "tetragonal", "de_polymorph_ev_per_atom": 0.000, "raw_formation_energy_mev_per_atom": -632, "lattice": [[-1.9665, 1.9665, 8.2602], [1.9665, -1.9665, 8.2602], [1.9665, 1.9665, -8.2602]], "species": ["Bi", "Bi", "Ir", "Ir", "F", "F", "F", "F"], "frac_coords": [[0.0000, 0.0000, 0.0000], [0.7500, 0.2500, 0.5000], [0.2500, 0.7500, 0.5000], [0.5000, 0.5000, 0.0000], [0.1453, 0.6250, 0.0203], [0.3750, 0.3953, 0.5203], [0.6047, 0.1250, 0.9797], [0.8750, 0.8547, 0.4797]]}



{"formula": "BiIr2F", "functional": "PBE-GGA", "state": "relaxed", "crystal_system": "tetragonal", "de_polymorph_ev_per_atom": 0.025, "raw_formation_energy_mev_per_atom": 353, "lattice": [[-3.9437, 3.9437, 2.3645], [3.9437, -3.9437, 2.3645], [3.9437, 3.9437, -2.3645]], "species": ["Bi", "Bi", "Ir", "Ir", "Ir", "Ir", "F", "F"], "frac_coords": [[0.0000, 0.0000, 0.0000], [0.7500, 0.2500, 0.5000], [0.1676, 0.6250, 0.0426], [0.3750, 0.4176, 0.5426], [0.5824, 0.1250, 0.9574], [0.8750, 0.8324, 0.4574], [0.2500, 0.7500, 0.5000], [0.5000, 0.5000, 0.0000]]}



{"formula": "Bi2IrF", "functional": "PBE-GGA", "state": "relaxed", "crystal_system": "tetragonal", "de_polymorph_ev_per_atom": 0.188, "raw_formation_energy_mev_per_atom": -355, "lattice": [[-2.8333, 2.8333, 6.7358], [2.8333, -2.8333, 6.7358], [2.8333, 2.8333, -6.7358]], "species": ["Bi", "Bi", "Bi", "Bi", "Ir", "Ir", "F", "F"], "frac_coords": [[0.1205, 0.6250, 0.9955], [0.3750, 0.3705, 0.4955], [0.6295, 0.1250, 0.0045], [0.8750, 0.8795, 0.5045], [0.2500, 0.7500, 0.5000], [0.5000, 0.5000, 0.0000], [0.0000, 0.0000, 0.0000], [0.7500, 0.2500, 0.5000]]}



{"formula": "BiIr2F", "functional": "PBE-GGA", "state": "relaxed", "crystal_system": "cubic", "de_polymorph_ev_per_atom": 0.000, "raw_formation_energy_mev_per_atom": 328, "lattice": [[0.0000, 3.1836, 3.1836], [3.1836, 0.0000, 3.1836], [3.1836, 3.1836, 0.0000]], "species": ["Bi", "Ir", "Ir", "F"], "frac_coords": [[0.0000, 0.0000, 0.0000], [0.2500, 0.2500, 0.2500], [0.7500, 0.7500, 0.7500], [0.5000, 0.5000, 0.5000]]}



{"formula": "BiIrF2", "functional": "PBE-GGA", "state": "relaxed", "crystal_system": "cubic", "de_polymorph_ev_per_atom": 0.449, "raw_formation_energy_mev_per_atom": -182, "lattice": [[0.0000, 3.1534, 3.1534], [3.1534, 0.0000, 3.1534], [3.1534, 3.1534, 0.0000]], "species": ["Bi", "Ir", "F", "F"], "frac_coords": [[0.0000, 0.0000, 0.0000], [0.5000, 0.5000, 0.5000], [0.2500, 0.2500, 0.2500], [0.7500, 0.7500, 0.7500]]}



{"formula": "BiIrF2", "functional": "PBE-GGA", "state": "relaxed", "crystal_system": "trigonal", "de_polymorph_ev_per_atom": 0.508, "raw_formation_energy_mev_per_atom": -124, "lattice": [[1.7588, 1.0155, 7.3492], [-1.7588, 1.0155, 7.3492], [0.0000, -2.0309, 7.3492]], "species": ["Bi", "Ir", "F", "F"], "frac_coords": [[0.0000, 0.0000, 0.0000], [0.5000, 0.5000, 0.5000], [0.1293, 0.1293, 0.1293], [0.8707, 0.8707, 0.8707]]}



{"formula": "BiIrF2", "functional": "PBE-GGA", "state": "relaxed", "crystal_system": "trigonal", "de_polymorph_ev_per_atom": 0.023, "raw_formation_energy_mev_per_atom": -609, "lattice": [[1.5248, 0.8803, 8.2148], [-1.5248, 0.8803, 8.2148], [0.0000, -1.7607, 8.2148]], "species": ["Bi", "Ir", "F", "F"], "frac_coords": [[0.0000, 0.0000, 0.0000], [0.5000, 0.5000, 0.5000], [0.4177, 0.4177, 0.4177], [0.5823, 0.5823, 0.5823]]}



{"formula": "LiBiIr2F", "functional": "PBE-GGA", "state": "relaxed", "crystal_system": "tetragonal", "raw_formation_energy_mev_per_atom": 681, "lattice": [[4.3283, 0.0000, 0.0000], [0.0000, 4.3283, 0.0000], [0.0000, 0.0000, 4.8244]], "species": ["Li", "Bi", "Ir", "Ir", "F"], "frac_coords": [[0.0000, 0.0000, 0.0000], [0.5000, 0.5000, 0.0000], [0.0000, 0.5000, 0.5000], [0.5000, 0.0000, 0.5000], [0.5000, 0.5000, 0.5000]]}



{"formula": "BiIrN2F", "functional": "PBE-GGA", "state": "relaxed", "crystal_system": "tetragonal", "de_polymorph_ev_per_atom": 1.186, "raw_formation_energy_mev_per_atom": 1662, "lattice": [[4.3536, 0.0000, 0.0000], [0.0000, 4.3536, 0.0000], [0.0000, 0.0000, 4.2042]], "species": ["Bi", "Ir", "N", "N", "F"], "frac_coords": [[0.0000, 0.0000, 0.0000], [0.5000, 0.5000, 0.5000], [0.0000, 0.5000, 0.0000], [0.5000, 0.0000, 0.0000], [0.0000, 0.0000, 0.5000]]}



{"formula": "BiIrN2F", "functional": "PBE-GGA", "state": "relaxed", "crystal_system": "tetragonal", "de_polymorph_ev_per_atom": 0.000, "raw_formation_energy_mev_per_atom": 476, "lattice": [[3.9179, 0.0000, 0.0000], [0.0000, 3.9179, 0.0000], [0.0000, 0.0000, 4.5059]], "species": ["Bi", "Ir", "N", "N", "F"], "frac_coords": [[0.0000, 0.0000, 0.0000], [0.5000, 0.5000, 0.5000], [0.0000, 0.5000, 0.5000], [0.5000, 0.0000, 0.5000], [0.5000, 0.5000, 0.0000]]}



{"formula": "BiIrOF2", "functional": "PBE-GGA", "state": "relaxed", "crystal_system": "tetragonal", "de_polymorph_ev_per_atom": 0.380, "raw_formation_energy_mev_per_atom": -163, "lattice": [[4.5031, 0.0000, 0.0000], [0.0000, 4.5031, 0.0000], [0.0000, 0.0000, 4.5821]], "species": ["Bi", "Ir", "O", "F", "F"], "frac_coords": [[0.0000, 0.0000, 0.0000], [0.5000, 0.5000, 0.5000], [0.0000, 0.0000, 0.5000], [0.0000, 0.5000, 0.0000], [0.5000, 0.0000, 0.0000]]}



{"formula": "BiIrO2F", "functional": "PBE-GGA", "state": "relaxed", "crystal_system": "tetragonal", "raw_formation_energy_mev_per_atom": -409, "lattice": [[4.0464, 0.0000, 0.0000], [0.0000, 4.0464, 0.0000], [0.0000, 0.0000, 4.2829]], "species": ["Bi", "Ir", "O", "O", "F"], "frac_coords": [[0.0000, 0.0000, 0.0000], [0.5000, 0.5000, 0.5000], [0.0000, 0.5000, 0.5000], [0.5000, 0.0000, 0.5000], [0.5000, 0.5000, 0.0000]]}



{"formula": "BiIrO2F", "functional": "PBE-GGA", "state": "relaxed", "crystal_system": "tetragonal", "raw_formation_energy_mev_per_atom": 231, "lattice": [[4.4164, 0.0000, 0.0000], [0.0000, 4.4164, 0.0000], [0.0000, 0.0000, 4.3795]], "species": ["Bi", "Ir", "O", "O", "F"], "frac_coords": [[0.0000, 0.0000, 0.0000], [0.5000, 0.5000, 0.5000], [0.0000, 0.5000, 0.0000], [0.5000, 0.0000, 0.0000], [0.0000, 0.0000, 0.5000]]}



{"formula": "BiIrOF2", "functional": "PBE-GGA", "state": "relaxed", "crystal_system": "tetragonal", "de_polymorph_ev_per_atom": 0.000, "raw_formation_energy_mev_per_atom": -542, "lattice": [[4.6699, 0.0000, 0.0000], [0.0000, 4.6699, 0.0000], [0.0000, 0.0000, 3.6973]], "species": ["Bi", "Ir", "O", "F", "F"], "frac_coords": [[0.0000, 0.0000, 0.0000], [0.5000, 0.5000, 0.5000], [0.5000, 0.5000, 0.0000], [0.0000, 0.5000, 0.5000], [0.5000, 0.0000, 0.5000]]}



{"formula": "Rb2BiIrF6", "functional": "PBE-GGA", "state": "relaxed", "crystal_system": "tetragonal", "raw_formation_energy_mev_per_atom": -1884, "lattice": [[-3.0563, 3.0563, 5.8761], [3.0563, -3.0563, 5.8761], [3.0563, 3.0563, -5.8761]], "species": ["Rb", "Rb", "Bi", "Ir", "F", "F", "F", "F", "F", "F"], "frac_coords": [[0.2500, 0.7500, 0.5000], [0.7500, 0.2500, 0.5000], [0.0000, 0.0000, 0.0000], [0.5000, 0.5000, 0.0000], [0.1917, 0.1917, 0.0000], [0.2612, 0.2612, 0.5224], [0.2612, 0.7388, 0.0000], [0.7388, 0.2612, 0.0000], [0.7388, 0.7388, 0.4776], [0.8083, 0.8083, 0.0000]]}



{"formula": "ReBiIr2F", "functional": "PBE-GGA", "state": "relaxed", "crystal_system": "tetragonal", "raw_formation_energy_mev_per_atom": 417, "lattice": [[4.8723, 0.0000, 0.0000], [0.0000, 4.8723, 0.0000], [0.0000, 0.0000, 4.0170]], "species": ["Re", "Bi", "Ir", "Ir", "F"], "frac_coords": [[0.0000, 0.0000, 0.0000], [0.5000, 0.5000, 0.5000], [0.0000, 0.5000, 0.0000], [0.5000, 0.0000, 0.0000], [0.0000, 0.0000, 0.5000]]}



{"formula": "BiIrRhF2", "functional": "PBE-GGA", "state": "relaxed", "crystal_system": "tetragonal", "raw_formation_energy_mev_per_atom": -378, "lattice": [[4.0110, 0.0000, 0.0000], [0.0000, 4.0110, 0.0000], [0.0000, 0.0000, 5.4105]], "species": ["Bi", "Ir", "Rh", "F", "F"], "frac_coords": [[0.0000, 0.0000, 0.0000], [0.5000, 0.5000, 0.0000], [0.5000, 0.5000, 0.5000], [0.0000, 0.5000, 0.5000], [0.5000, 0.0000, 0.5000]]}



{"formula": "Si2BiIrF", "functional": "PBE-GGA", "state": "relaxed", "crystal_system": "tetragonal", "raw_formation_energy_mev_per_atom": 1492, "lattice": [[5.4730, 0.0000, 0.0000], [0.0000, 5.4730, 0.0000], [0.0000, 0.0000, 5.0515]], "species": ["Si", "Si", "Bi", "Ir", "F"], "frac_coords": [[0.0000, 0.5000, 0.0000], [0.5000, 0.0000, 0.0000], [0.0000, 0.0000, 0.0000], [0.0000, 0.0000, 0.5000], [0.5000, 0.5000, 0.5000]]}